# ZnFe2N PBE relaxed
data_ZnFe2N
_cell_length_a 2.8497
_cell_length_b 2.8497
_cell_length_c 18.3068
_cell_angle_alpha 90.00
_cell_angle_beta 90.00
_cell_angle_gamma 120.00
_symmetry_space_group_name_H-M 'R -3 m'
_symmetry_Int_Tables_number 166
_symmetry_space_group_name_Hall '-R 3 2"'
loop_
_atom_site_label
_atom_site_type_symbol
_atom_site_fract_x
_atom_site_fract_y
_atom_site_fract_z
_atom_site_occupancy
Zn1 Zn 0.0000 0.0000 0.0000 1
Fe1 Fe 0.0000 0.0000 0.2186 1
N1 N 0.0000 0.0000 0.5000 1
# - Total DFT energy (no corrections): -79.5 eV for the cell shown
# - Formation energy without anion corrections: 3 meV per atom


# TmBiAu2 PBE relaxed
data_TmBiAu2
_cell_length_a 4.5473
_cell_length_b 4.5473
_cell_length_c 4.3903
_cell_angle_alpha 90.00
_cell_angle_beta 90.00
_cell_angle_gamma 90.00
_symmetry_space_group_name_H-M 'P 4/m m m'
_symmetry_Int_Tables_number 123
_symmetry_space_group_name_Hall '-P 4 2'
loop_
_atom_site_label
_atom_site_type_symbol
_atom_site_fract_x
_atom_site_fract_y
_atom_site_fract_z
_atom_site_occupancy
Tm1 Tm 0.0000 0.0000 0.0000 1
Bi1 Bi 0.5000 0.5000 0.0000 1
Au1 Au 0.0000 0.5000 0.5000 1
# - Total DFT energy (no corrections): -16.9 eV for the cell shown
# - Calculated formation energy: -0.491 eV per atom


# MnIBr PBE relaxed
data_MnIBr
_cell_length_a 4.0331
_cell_length_b 4.0331
_cell_length_c 7.2825
_cell_angle_alpha 90.00
_cell_angle_beta 90.00
_cell_angle_gamma 120.00
_symmetry_space_group_name_H-M 'P 3 m 1'
_symmetry_Int_Tables_number 156
loop_
_symmetry_equiv_pos_as_xyz
'x,y,z'
'-y,x-y,z'
'-x+y,-x,z'
'-y,-x,z'
'-x+y,y,z'
'x,x-y,z'
loop_
_atom_site_label
_atom_site_type_symbol
_atom_site_fract_x
_atom_site_fract_y
_atom_site_fract_z
_atom_site_occupancy
Mn1 Mn 0.0000 0.0000 0.0000 1
I1 I 0.3333 0.6667 0.7650 1
Br1 Br 0.6667 0.3333 0.1982 1
# - Total DFT energy (no corrections): -14.2 eV for the cell shown
# - Formation energy without anion corrections: -595 meV per atom


# BaScW2 PBE relaxed
data_BaScW2
_cell_length_a 9.9794
_cell_length_b 3.2721
_cell_length_c 6.6920
_cell_angle_alpha 90.00
_cell_angle_beta 94.05
_cell_angle_gamma 90.00
_symmetry_space_group_name_H-M 'C 1 2/m 1'
_symmetry_Int_Tables_number 12
loop_
_symmetry_equiv_pos_as_xyz
'x,y,z'
'-x,-y,-z'
'-x,y,-z'
'x,-y,z'
'x+1/2,y+1/2,z'
'-x+1/2,-y+1/2,-z'
'-x+1/2,y+1/2,-z'
'x+1/2,-y+1/2,z'
loop_
_atom_site_label
_atom_site_type_symbol
_atom_site_fract_x
_atom_site_fract_y
_atom_site_fract_z
_atom_site_occupancy
Ba1 Ba 0.0000 0.0000 0.0000 1
Sc1 Sc 0.0000 0.5000 0.5000 1
W1 W 0.2420 0.0000 0.6370 1
# - Total DFT energy (no corrections): -61.7 eV for the cell shown
# - Calculated formation energy: 0.833 eV per atom


# K2HoPu3O12 PBE relaxed
data_K2HoPu3O12
_cell_length_a 7.9986
_cell_length_b 7.9986
_cell_length_c 18.6567
_cell_angle_alpha 90.00
_cell_angle_beta 90.00
_cell_angle_gamma 120.00
_symmetry_space_group_name_H-M 'R -3 m'
_symmetry_Int_Tables_number 166
_symmetry_space_group_name_Hall '-R 3 2"'
loop_
_atom_site_label
_atom_site_type_symbol
_atom_site_fract_x
_atom_site_fract_y
_atom_site_fract_z
_atom_site_occupancy
K1 K 0.0000 0.0000 0.1697 1
Ho1 Ho 0.0000 0.0000 0.5000 1
Pu1 Pu 0.0000 0.5000 0.0000 1
O1 O 0.0595 0.5298 0.1017 1
O2 O 0.0905 0.5453 0.3539 1
# - Total DFT energy (no corrections): -464.9 eV for the cell shown
# - Formation energy without anion corrections: -2539 meV per atom


# TaAl2Pt PBE relaxed
data_TaAl2Pt
_cell_length_a 3.1485
_cell_length_b 4.3164
_cell_length_c 9.3967
_cell_angle_alpha 90.00
_cell_angle_beta 90.00
_cell_angle_gamma 90.00
_symmetry_space_group_name_H-M 'I m m 2'
_symmetry_Int_Tables_number 44
loop_
_symmetry_equiv_pos_as_xyz
'x,y,z'
'-x,-y,z'
'-x,y,z'
'x,-y,z'
'x+1/2,y+1/2,z+1/2'
'-x+1/2,-y+1/2,z+1/2'
'-x+1/2,y+1/2,z+1/2'
'x+1/2,-y+1/2,z+1/2'
loop_
_atom_site_label
_atom_site_type_symbol
_atom_site_fract_x
_atom_site_fract_y
_atom_site_fract_z
_atom_site_occupancy
Ta1 Ta 0.0000 0.0000 0.0000 1
Al1 Al 0.0000 0.0000 0.5283 1
Al2 Al 0.0000 0.5000 0.7611 1
Pt1 Pt 0.0000 0.5000 0.2491 1
# - Total DFT energy (no corrections): -54.4 eV for the cell shown
# - Calculated formation energy: -0.449 eV per atom


# Ce2Pa3Te8 PBE relaxed
data_Ce2Pa3Te8
_cell_length_a 15.9858
_cell_length_b 8.6169
_cell_length_c 7.3752
_cell_angle_alpha 90.00
_cell_angle_beta 106.32
_cell_angle_gamma 90.00
_symmetry_space_group_name_H-M 'C 1 2/m 1'
_symmetry_Int_Tables_number 12
loop_
_symmetry_equiv_pos_as_xyz
'x,y,z'
'-x,-y,-z'
'-x,y,-z'
'x,-y,z'
'x+1/2,y+1/2,z'
'-x+1/2,-y+1/2,-z'
'-x+1/2,y+1/2,-z'
'x+1/2,-y+1/2,z'
loop_
_atom_site_label
_atom_site_type_symbol
_atom_site_fract_x
_atom_site_fract_y
_atom_site_fract_z
_atom_site_occupancy
Ce1 Ce 0.2483 0.0000 0.3238 1
Pa1 Pa 0.0000 0.0000 0.5000 1
Pa2 Pa 0.0000 0.2389 0.0000 1
Te1 Te 0.1102 0.5000 0.9058 1
Te2 Te 0.1193 0.2539 0.4100 1
Te3 Te 0.1277 0.0000 0.9017 1
# - Total DFT energy (no corrections): -155.0 eV for the cell shown
# - Formation energy without anion corrections: -923 meV per atom


# Ti2PbN PBE relaxed
data_Ti2PbN
_cell_length_a 3.2410
_cell_length_b 3.2410
_cell_length_c 20.5647
_cell_angle_alpha 90.00
_cell_angle_beta 90.00
_cell_angle_gamma 120.00
_symmetry_space_group_name_H-M 'R -3 m'
_symmetry_Int_Tables_number 166
_symmetry_space_group_name_Hall '-R 3 2"'
loop_
_atom_site_label
_atom_site_type_symbol
_atom_site_fract_x
_atom_site_fract_y
_atom_site_fract_z
_atom_site_occupancy
Ti1 Ti 0.0000 0.0000 0.2149 1
Pb1 Pb 0.0000 0.0000 0.0000 1
N1 N 0.0000 0.0000 0.5000 1
# - Total DFT energy (no corrections): -94.3 eV for the cell shown
# - Formation energy without anion corrections: -905 meV per atom


# Tb2Mg2AlGa4 PBE relaxed
data_Tb2Mg2AlGa4
_cell_length_a 6.8637
_cell_length_b 6.8637
_cell_length_c 9.0426
_cell_angle_alpha 90.00
_cell_angle_beta 90.00
_cell_angle_gamma 90.00
_symmetry_space_group_name_H-M 'I 4/m m m'
_symmetry_Int_Tables_number 139
_symmetry_space_group_name_Hall '-I 4 2'
loop_
_atom_site_label
_atom_site_type_symbol
_atom_site_fract_x
_atom_site_fract_y
_atom_site_fract_z
_atom_site_occupancy
Tb1 Tb 0.0000 0.0000 0.1915 1
Mg1 Mg 0.0000 0.5000 0.2500 1
Al1 Al 0.0000 0.0000 0.5000 1
Ga1 Ga 0.2468 0.2468 0.0000 1
# - Total DFT energy (no corrections): -58.4 eV for the cell shown
# - Calculated formation energy: -0.099 eV per atom


# Zn2PbF8 PBE relaxed
data_Zn2PbF8
_cell_length_a 6.6634
_cell_length_b 6.6634
_cell_length_c 4.0351
_cell_angle_alpha 90.00
_cell_angle_beta 90.00
_cell_angle_gamma 120.00
_symmetry_space_group_name_H-M 'P -3 m 1'
_symmetry_Int_Tables_number 164
_symmetry_space_group_name_Hall '-P 3 2"'
loop_
_atom_site_label
_atom_site_type_symbol
_atom_site_fract_x
_atom_site_fract_y
_atom_site_fract_z
_atom_site_occupancy
Zn1 Zn 0.3333 0.6667 0.2539 1
Pb1 Pb 0.0000 0.0000 0.5000 1
F1 F 0.1590 0.3179 0.2386 1
F2 F 0.3333 0.6667 0.7535 1
# - Total DFT energy (no corrections): -43.5 eV for the cell shown
# - Formation energy without anion corrections: -2024 meV per atom


# Ac6InGe PBE relaxed
data_Ac6InGe
_cell_length_a 7.7690
_cell_length_b 13.0498
_cell_length_c 7.5433
_cell_angle_alpha 90.00
_cell_angle_beta 115.21
_cell_angle_gamma 90.00
_symmetry_space_group_name_H-M 'C 1 2/m 1'
_symmetry_Int_Tables_number 12
loop_
_symmetry_equiv_pos_as_xyz
'x,y,z'
'-x,-y,-z'
'-x,y,-z'
'x,-y,z'
'x+1/2,y+1/2,z'
'-x+1/2,-y+1/2,-z'
'-x+1/2,y+1/2,-z'
'x+1/2,-y+1/2,z'
loop_
_atom_site_label
_atom_site_type_symbol
_atom_site_fract_x
_atom_site_fract_y
_atom_site_fract_z
_atom_site_occupancy
Ac1 Ac 0.2164 0.1910 0.2478 1
Ac2 Ac 0.2366 0.0000 0.7626 1
In1 In 0.0000 0.5000 0.5000 1
Ge1 Ge 0.0000 0.0000 0.0000 1
# - Total DFT energy (no corrections): -65.2 eV for the cell shown
# - Calculated formation energy: -0.072 eV per atom


# Al4PtAu PBE relaxed
data_Al4PtAu
_cell_length_a 4.2226
_cell_length_b 4.2226
_cell_length_c 6.0631
_cell_angle_alpha 90.00
_cell_angle_beta 90.00
_cell_angle_gamma 90.00
_symmetry_space_group_name_H-M 'P 4/m m m'
_symmetry_Int_Tables_number 123
_symmetry_space_group_name_Hall '-P 4 2'
loop_
_atom_site_label
_atom_site_type_symbol
_atom_site_fract_x
_atom_site_fract_y
_atom_site_fract_z
_atom_site_occupancy
Al1 Al 0.0000 0.5000 0.2410 1
Pt1 Pt 0.0000 0.0000 0.0000 1
Au1 Au 0.5000 0.5000 0.5000 1
# - Total DFT energy (no corrections): -28.4 eV for the cell shown
# - Calculated formation energy: -0.677 eV per atom


no.,magnetization (μB per atom)
1,0.346
2,0.000
3,1.667
4,0.000
5,0.278
6,0.000
7,0.537
8,0.000
9,0.000
10,0.000
11,0.000
12,0.000